Material: LiTe2Pb
Method: DFT, PBE
State: optimized geometry

abc: 4.134 5.291 5.301
angles: 90.00 90.00 90.00
Sites, in units of the cell vectors:
Li  0.000  0.000  0.000
Te  0.500  0.000  0.500
Te  0.500  0.500  0.000
Pb  0.000  0.500  0.500

Output
ρ   6.72 Mg/m³
Uncorrected formation energy   -1.29 eV per formula unit
Spin magnetization   0.0 μB per formula unit
SG   Pmmm, No. 47

Material: Li2TePb2
Method: DFT, PBE
State: optimized geometry

abc: 8.419 8.419 3.663
angles: 90.00 90.00 90.00
Sites, in units of the cell vectors:
Li  0.168  0.332  0.000
Li  0.332  0.832  0.000
Li  0.668  0.168  0.000
Li  0.832  0.668  0.000
Te  0.000  0.000  0.500
Te  0.500  0.500  0.500
Pb  0.135  0.635  0.500
Pb  0.365  0.135  0.500
Pb  0.635  0.865  0.500
Pb  0.865  0.365  0.500

Output
ρ   7.11 Mg/m³
Uncorrected formation energy   -0.84 eV per formula unit
Spin magnetization   0.0 μB per formula unit
ΔE to the lowest computed polymorph   0.1279 eV per atom
SG   P4/mbm, No. 127

Material: LiTePb
Method: DFT, PBE
State: optimized geometry

abc: 7.517 7.517 6.666
angles: 90.00 90.00 99.93
Sites, in units of the cell vectors:
Li  0.127  0.873  0.805
Li  0.373  0.627  0.305
Li  0.627  0.373  0.695
Li  0.873  0.127  0.195
Te  0.135  0.865  0.239
Te  0.365  0.635  0.739
Te  0.635  0.365  0.261
Te  0.865  0.135  0.761
Pb  0.232  0.232  0.500
Pb  0.268  0.268  0.000
Pb  0.732  0.732  0.000
Pb  0.768  0.768  0.500

Output
ρ   6.12 Mg/m³
Uncorrected formation energy   -1.25 eV per formula unit
Spin magnetization   0.0 μB per formula unit
ΔE to the lowest computed polymorph   0.0000 eV per atom
SG   Cmce, No. 64

Copy entry 2 word for word.
Material: Li2TePb2
Method: DFT, PBE
State: optimized geometry

abc: 8.419 8.419 3.663
angles: 90.00 90.00 90.00
Sites, in units of the cell vectors:
Li  0.168  0.332  0.000
Li  0.332  0.832  0.000
Li  0.668  0.168  0.000
Li  0.832  0.668  0.000
Te  0.000  0.000  0.500
Te  0.500  0.500  0.500
Pb  0.135  0.635  0.500
Pb  0.365  0.135  0.500
Pb  0.635  0.865  0.500
Pb  0.865  0.365  0.500

Output
ρ   7.11 Mg/m³
Uncorrected formation energy   -0.84 eV per formula unit
Spin magnetization   0.0 μB per formula unit
ΔE to the lowest computed polymorph   0.1279 eV per atom
SG   P4/mbm, No. 127